[1]
RbNaH2Au | GGA-PBE | optimized geometry

The magnetization is 0.080 μB/atom. The crystal system is orthorhombic. For the total DFT energy (no corrections), the calculation gives -51.8 eV per cell.

The structure belongs to space group Cmme (No. 67); the cell edges are 8.660, 13.211 and 4.414 Å and the angles 90.00°, 90.00° and 90.00°. Symmetry generates all atoms from Rb at (0.000, 0.250, 0.217), Na at (0.250, 0.000, 0.500), H at (0.000, 0.085, 0.720) and Au at (0.000, 0.000, 0.000).

---

[2]
Dy2Cd2Cu15 | GGA-PBE | optimized geometry

The formation energy comes out at -1.9 eV/f.u. The magnetization is 0.000 μB/atom. The crystal system is trigonal.

The structure belongs to space group R-3m (No. 166, hexagonal axes); the cell edges are 8.7388, 8.7388 and 12.7218 Å and the angles 90.00°, 90.00° and 120.00°. Symmetry generates all atoms from Dy at (0.0000, 0.0000, 0.1468), Cd at (0.0000, 0.0000, 0.3931), Cu at (0.0000, 0.3066, 0.5000), Cu at (0.0000, 0.5000, 0.0000) and Cu at (0.0079, 0.5040, 0.6543).

---

[3]
Li6CuAg | GGA-PBE | optimized geometry

The formation energy comes out at -0.4 eV/f.u. The magnetization is 0.000 μB/atom. The crystal system is tetragonal.

The structure belongs to space group I4/mmm (No. 139); the cell edges are 4.376, 4.376 and 14.170 Å and the angles 90.00°, 90.00° and 90.00°. Symmetry generates all atoms from Li at (0.000, 0.000, 0.249), Li at (0.000, 0.500, 0.108), Cu at (0.000, 0.000, 0.000) and Ag at (0.000, 0.000, 0.500).

---

Which value of magnetization does entry 1 give?
0.080 μB/atom

---

Which value of magnetization does entry 2 give?
0.000 μB/atom

---

Look up the magnetization of the second one.
0.000 μB/atom